Ac4Mn3NiO12: relaxed, GGA+U.

Geometry as extended XYZ:
```
20
Lattice="-0.784 -0.787 6.807 2.853 -5.689 -2.658 4.091 5.414 -1.232" Properties=species:S:1:pos:R:3 pbc="T T T"
O 1.777 -0.070 -0.996
O 4.298 1.020 -0.552
O 1.861 -2.081 3.468
O 2.460 3.443 4.148
O 1.539 -4.818 3.087
O 3.389 2.245 1.815
O 3.989 -1.756 -0.908
O 2.170 0.695 3.824
O 0.529 -1.658 1.062
O 5.166 -0.204 -2.895
O 2.770 -3.306 1.102
O 0.846 1.185 1.427
Mn 1.653 2.314 2.787
Mn 1.034 -3.238 2.074
Mn 3.472 -0.137 -1.945
Ni 0.000 0.000 0.000
Ac -0.392 -0.393 3.403
Ac 2.045 2.707 -0.616
Ac 3.080 -0.531 1.458
Ac 1.426 -2.844 -1.329
```

Output
space-group type	Im-3m
VASP energy	-7.541	eV/atom